Entry from Alexandria: a relaxed PmGaRe crystal (PBE).

## Properties
The value obtained for the formation energy is -17.7 kJ per mole of atoms. The density of states at the Fermi level comes out at 0.81 states/eV per atom. For the magnetic moment, the calculation gives 0.2 Bohr magnetons per cell.

Cell lengths 4.314, 4.314, 13.335 Å; angles 130.29, 130.29, 60.01 degrees
Positions (direct):
Ga: 0.702 0.202 0.151
Ga: 0.298 0.798 0.849
Pm: 0.603 0.103 0.327
Pm: 0.397 0.897 0.673
Re: 0.867 0.367 0.026
Re: 0.133 0.633 0.974